(1)
# Zr3Sc2Hg2 | the Open Quantum Materials Database | PBE | optimized geometry
data_Zr3Sc2Hg2
_cell_length_a 4.9467
_cell_length_b 4.9467
_cell_length_c 22.1281
_cell_angle_alpha 90.00
_cell_angle_beta 90.00
_cell_angle_gamma 120.00
_space_group_name_H-M_alt 'R 3 m'
_space_group_IT_number 160
_space_group_name_Hall 'R 3 -2"'
loop_
_atom_site_label
_atom_site_type_symbol
_atom_site_fract_x
_atom_site_fract_y
_atom_site_fract_z
_atom_site_occupancy
Zr1 Zr 0.0000 0.0000 0.0000 1
Zr2 Zr 0.0000 0.0000 0.2769 1
Zr3 Zr 0.0000 0.0000 0.6894 1
Sc1 Sc 0.0000 0.0000 0.4180 1
Sc2 Sc 0.0000 0.0000 0.8466 1
Hg1 Hg 0.0000 0.0000 0.1318 1
Hg2 Hg 0.0000 0.0000 0.5569 1
# Energy of formation in kJ per mole of atoms: -16.6
# Uncorrected energy in eV/atom: -5.73
# Total magnetic moment in μB per cell: 0.1

***

(2)
# Zr2ScHg | the Open Quantum Materials Database | PBE | optimized geometry
data_Zr2ScHg
_cell_length_a 5.1510
_cell_length_b 6.5564
_cell_length_c 10.5984
_cell_angle_alpha 90.00
_cell_angle_beta 90.00
_cell_angle_gamma 90.00
_space_group_name_H-M_alt 'A m m 2'
_space_group_IT_number 38
loop_
_space_group_symop_operation_xyz
'x,y,z'
'-x,-y,z'
'-x,y,z'
'x,-y,z'
'x,y+1/2,z+1/2'
'-x,-y+1/2,z+1/2'
'-x,y+1/2,z+1/2'
'x,-y+1/2,z+1/2'
loop_
_atom_site_label
_atom_site_type_symbol
_atom_site_fract_x
_atom_site_fract_y
_atom_site_fract_z
_atom_site_occupancy
Zr1 Zr 0.0000 0.0000 0.0000 1
Zr2 Zr 0.0000 0.2320 0.7537 1
Zr3 Zr 0.5000 0.0000 0.7218 1
Sc1 Sc 0.0000 0.0000 0.4977 1
Sc2 Sc 0.5000 0.0000 0.2159 1
Hg1 Hg 0.5000 0.2453 0.4658 1
# Energy of formation in kJ per mole of atoms: -7.1
# Uncorrected energy in eV/atom: -6.00
# Total magnetic moment in μB per cell: 0.1

***

(3)
# SiHg4Se6 | the Open Quantum Materials Database | PBE | optimized geometry
data_SiHg4Se6
_cell_length_a 13.1691
_cell_length_b 7.5964
_cell_length_c 13.1174
_cell_angle_alpha 90.00
_cell_angle_beta 109.92
_cell_angle_gamma 90.00
_space_group_name_H-M_alt 'C 1 c 1'
_space_group_IT_number 9
loop_
_space_group_symop_operation_xyz
'x,y,z'
'x,-y,z+1/2'
'x+1/2,y+1/2,z'
'x+1/2,-y+1/2,z+1/2'
loop_
_atom_site_label
_atom_site_type_symbol
_atom_site_fract_x
_atom_site_fract_y
_atom_site_fract_z
_atom_site_occupancy
Si1 Si 0.0000 0.2343 0.0000 1
Hg1 Hg 0.0657 0.3010 0.5878 1
Hg2 Hg 0.2513 0.3865 0.9404 1
Hg3 Hg 0.2656 0.0941 0.2560 1
Hg4 Hg 0.4404 0.4464 0.7438 1
Se1 Se 0.0441 0.4778 0.9177 1
Se2 Se 0.0717 0.2780 0.1846 1
Se3 Se 0.0754 0.0075 0.4520 1
Se4 Se 0.2575 0.2579 0.7498 1
Se5 Se 0.3164 0.2539 0.4543 1
Se6 Se 0.3787 0.2571 0.1310 1
# Uncorrected energy in eV/atom: -2.76

***

(4)
# Tl2SiHgSe4 | the Open Quantum Materials Database | PBE | optimized geometry
data_Tl2SiHgSe4
_cell_length_a 8.0894
_cell_length_b 8.0894
_cell_length_c 6.8262
_cell_angle_alpha 90.00
_cell_angle_beta 90.00
_cell_angle_gamma 90.00
_space_group_name_H-M_alt 'I -4 2 m'
_space_group_IT_number 121
_space_group_name_Hall 'I -4 2'
loop_
_atom_site_label
_atom_site_type_symbol
_atom_site_fract_x
_atom_site_fract_y
_atom_site_fract_z
_atom_site_occupancy
Tl1 Tl 0.0000 0.5000 0.0000 1
Si1 Si 0.0000 0.0000 0.0000 1
Hg1 Hg 0.0000 0.0000 0.5000 1
Se1 Se 0.1621 0.1621 0.2047 1
# Uncorrected energy in eV/atom: -3.44

***

Number 1 is which compound? Zr3Sc2Hg2